(1)
Below is a relaxed structure of MgInCoO, with properties calculated at the PBE+U level.

CIF file:
```
data_MgInCoO
_chemical_formula_sum 'Mg1 In1 Co1 O1'
_cell_length_a 3.171
_cell_length_b 3.171
_cell_length_c 7.489
_cell_angle_alpha 90.00
_cell_angle_beta 90.00
_cell_angle_gamma 120.00
_symmetry_space_group_name_H-M 'P 1'
_symmetry_Int_Tables_number 1
loop_
_symmetry_equiv_pos_as_xyz
'x,y,z'
loop_
_atom_site_label
_atom_site_fract_x
_atom_site_fract_y
_atom_site_fract_z
Co1 0.333 0.667 0.548
In1 0.000 0.000 0.829
Mg1 0.667 0.333 0.226
O1 0.000 0.000 0.129
```

Output
Its theoretical density is 5.45 g cm⁻³. Its space group is P3m1.

(2)
Below is a relaxed structure of MgInCoO, with properties calculated at the PBE+U level.

CIF file:
```
data_MgInCoO
_chemical_formula_sum 'Mg2 In2 Co2 O2'
_cell_length_a 2.911
_cell_length_b 2.911
_cell_length_c 14.914
_cell_angle_alpha 90.00
_cell_angle_beta 90.00
_cell_angle_gamma 90.00
_symmetry_space_group_name_H-M 'P 1'
_symmetry_Int_Tables_number 1
loop_
_symmetry_equiv_pos_as_xyz
'x,y,z'
loop_
_atom_site_label
_atom_site_fract_x
_atom_site_fract_y
_atom_site_fract_z
In1 0.500 0.500 0.387
Co1 0.000 0.000 0.258
In2 0.000 0.000 0.887
Mg1 0.000 0.000 0.610
Co2 0.500 0.500 0.758
O1 0.500 0.500 0.611
Mg2 0.500 0.500 0.110
O2 0.000 0.000 0.111
```

Output
Its theoretical density is 5.62 g cm⁻³. Its space group is I4mm.

Compare the structures above. Which one is the least stable? (1) is.